Computed, not measured: crystalline CoSO2F at its relaxed geometry at the PBE+U level of DFT.

The total DFT energy (no corrections) is -4.238 eV per atom. The calculation puts the density of states at the Fermi level at 2.95 states/eV per cell.

The structure belongs to space group P4/mmm (No. 123); the cell edges are 3.7903, 3.7903 and 3.8768 Å and the angles 90.00°, 90.00° and 90.00°. Symmetry generates all atoms from Co at (0.0000, 0.0000, 0.0000), S at (0.5000, 0.5000, 0.5000), O at (0.0000, 0.5000, 0.0000) and F at (0.0000, 0.0000, 0.5000).